! PBE+U CeCr2IO8, relaxed; values from VASP
! ρ (g cm⁻³): 5.56
! E (eV/cell): -81.583
&SYSTEM
  ibrav = 0, nat = 12, ntyp = 4
/
ATOMIC_SPECIES
O 16.00 O.upf
Cr 52.00 Cr.upf
Ce 140.12 Ce.upf
I 126.90 I.upf
ATOMIC_POSITIONS crystal
O 0.694 0.695 0.000
O 0.323 0.321 0.500
O 0.802 0.200 0.777
O 0.677 0.679 0.500
O 0.198 0.800 0.777
O 0.306 0.305 0.000
O 0.802 0.200 0.223
O 0.198 0.800 0.223
Cr 0.500 0.500 0.754
Cr 0.500 0.500 0.246
Ce 0.000 0.000 0.500
I 0.000 0.000 0.000
CELL_PARAMETERS angstrom
4.723 -0.023 -0.003
0.007 4.721 -0.005
0.004 0.007 6.680